(1)
K2YTa after structural relaxation, computed with PBE.

Properties
- Magnetization: 1.1 Bohr magnetons per cell
- E above lowest polymorph: 549 meV per atom
- ΔE_f: 1.23 eV per atom

Cell lengths 7.456, 7.456, 3.125 Å; angles 90.00, 90.00, 130.40 degrees
Last column: magnetic moment on the atom in μB.
Fractional coordinates of all 4 atoms:
1 K 0.000 0.000 0.000  0.01
2 K 0.500 0.500 0.000  0.01
3 Ta 0.500 0.000 0.500  0.66
4 Y 0.000 0.500 0.500  -0.03


(2)
Cs2PmRe2N6 after structural relaxation, computed with PBE.

Properties
- Magnetization: 1.0 Bohr magnetons per cell
- Energy relative to the elements, uncorrected: -324 meV per atom

Cell lengths 6.555, 6.556, 7.476 Å; angles 116.04, 90.00, 120.00 degrees
Last column: magnetic moment on the atom in μB.
Fractional coordinates of all 11 atoms:
1 Re 0.070 0.141 0.212  -0.06
2 Re 0.930 0.859 0.788  -0.06
3 N 0.753 0.506 0.716  0.13
4 N 0.753 0.965 0.717  0.13
5 N 0.212 0.965 0.717  0.13
6 N 0.247 0.035 0.283  0.13
7 N 0.788 0.035 0.283  0.13
8 N 0.247 0.494 0.284  0.13
9 Pm 0.500 0.000 0.500  -0.03
10 Cs 0.276 0.552 0.827  0.00
11 Cs 0.724 0.448 0.173  0.00


(3)
AlPbCl2 after structural relaxation, computed with PBE.

Properties
- Magnetization: 0.0 Bohr magnetons per cell
- Energy relative to the elements, uncorrected: -370 meV per atom
- E above lowest polymorph: 223 meV per atom

Cell lengths 3.413, 3.413, 8.516 Å; angles 90.00, 90.00, 90.00 degrees
Fractional coordinates of all 4 atoms:
1 Al 0.500 0.500 0.750
2 Cl 0.000 0.000 0.525
3 Cl 0.000 0.000 0.975
4 Pb 0.500 0.500 0.250


(4)
HfTaNi2Bi after structural relaxation, computed with PBE.

Properties
- Magnetization: 0.0 Bohr magnetons per cell
- ΔE_f: 1.41 eV per atom

Cell lengths 4.537, 4.537, 5.364 Å; angles 90.00, 90.00, 90.00 degrees
Fractional coordinates of all 5 atoms:
1 Hf 0.000 0.000 0.000
2 Bi 0.000 0.000 0.500
3 Ta 0.500 0.500 0.500
4 Ni 0.500 0.000 0.000
5 Ni 0.000 0.500 0.000


(5)
YZr2I after structural relaxation, computed with PBE.

Properties
- Magnetization: 2.0 Bohr magnetons per cell
- Energy relative to the elements, uncorrected: 454 meV per atom
- E above lowest polymorph: 226 meV per atom

Cell lengths 5.220, 5.220, 5.220 Å; angles 60.00, 60.00, 60.00 degrees
Last column: magnetic moment on the atom in μB.
Fractional coordinates of all 4 atoms:
1 Y 0.000 0.000 0.000  0.45
2 Zr 0.750 0.750 0.750  0.40
3 Zr 0.250 0.250 0.250  0.40
4 I 0.500 0.500 0.500  0.01


(6)
Bi2BN after structural relaxation, computed with PBE.

Properties
- Magnetization: 0.0 Bohr magnetons per cell
- Energy relative to the elements, uncorrected: 1538 meV per atom
- E above lowest polymorph: 557 meV per atom

Cell lengths 4.610, 4.610, 4.610 Å; angles 60.00, 60.00, 60.00 degrees
Fractional coordinates of all 4 atoms:
1 B 0.000 0.000 0.000
2 N 0.500 0.500 0.500
3 Bi 0.750 0.750 0.750
4 Bi 0.250 0.250 0.250


(7)
Hg6PbO8 after structural relaxation, computed with PBE.

Properties
- Magnetization: 0.0 Bohr magnetons per cell
- Energy relative to the elements, uncorrected: -349 meV per atom

Cell lengths 6.550, 6.550, 6.550 Å; angles 88.82, 88.82, 88.82 degrees
Fractional coordinates of all 15 atoms:
1 O 0.645 0.645 0.645
2 O 0.299 0.128 0.891
3 O 0.701 0.872 0.109
4 O 0.109 0.701 0.872
5 O 0.355 0.355 0.355
6 O 0.128 0.891 0.299
7 O 0.891 0.299 0.128
8 O 0.872 0.109 0.701
9 Hg 0.471 0.889 0.771
10 Hg 0.229 0.529 0.111
11 Hg 0.771 0.471 0.889
12 Hg 0.889 0.771 0.471
13 Hg 0.529 0.111 0.229
14 Hg 0.111 0.229 0.529
15 Pb 0.000 0.000 0.000


(8)
NiC2 after structural relaxation, computed with PBE.

Properties
- Magnetization: 0.0 Bohr magnetons per cell
- E above lowest polymorph: 1128 meV per atom
- ΔE_f: 1.55 eV per atom

Cell lengths 3.499, 3.499, 9.466 Å; angles 90.00, 90.00, 120.00 degrees
Fractional coordinates of all 12 atoms:
1 C 0.281 0.140 0.250
2 C 0.860 0.140 0.250
3 C 0.140 0.860 0.750
4 C 0.860 0.719 0.250
5 C 0.140 0.281 0.750
6 C 0.719 0.860 0.750
7 C 0.000 0.000 0.000
8 C 0.000 0.000 0.500
9 Ni 0.667 0.333 0.416
10 Ni 0.333 0.667 0.584
11 Ni 0.333 0.667 0.916
12 Ni 0.667 0.333 0.084


(9)
TmPd4Au after structural relaxation, computed with PBE.

Properties
- Magnetization: 0.0 Bohr magnetons per cell
- E above lowest polymorph: 158 meV per atom
- ΔE_f: -0.41 eV per atom

Cell lengths 4.303, 4.079, 12.996 Å; angles 80.97, 90.00, 90.00 degrees
Fractional coordinates of all 12 atoms:
1 Pd 0.761 0.677 0.646
2 Pd 0.761 0.823 0.354
3 Pd 0.261 0.751 0.498
4 Pd 0.261 0.470 0.060
5 Pd 0.261 0.323 0.354
6 Pd 0.761 0.249 0.502
7 Pd 0.261 0.177 0.646
8 Pd 0.761 0.530 0.940
9 Tm 0.761 0.399 0.202
10 Tm 0.261 0.601 0.798
11 Au 0.261 0.898 0.204
12 Au 0.761 0.102 0.796


(10)
ErAl2Mo after structural relaxation, computed with PBE.

Properties
- Magnetization: 0.0 Bohr magnetons per cell
- ΔE_f: 0.06 eV per atom

Cell lengths 3.017, 3.017, 9.790 Å; angles 81.14, 81.14, 60.00 degrees
Fractional coordinates of all 4 atoms:
1 Mo 0.000 0.000 0.000
2 Er 0.500 0.500 0.500
3 Al 0.740 0.740 0.780
4 Al 0.260 0.260 0.220


(11)
SbTeCl2 after structural relaxation, computed with PBE.

Properties
- Magnetization: 0.0 Bohr magnetons per cell
- Energy relative to the elements, uncorrected: -341 meV per atom
- E above lowest polymorph: 189 meV per atom

Cell lengths 4.368, 4.498, 7.533 Å; angles 90.00, 90.00, 90.00 degrees
Fractional coordinates of all 4 atoms:
1 Cl 0.500 0.500 0.326
2 Cl 0.000 0.000 0.923
3 Sb 0.000 0.000 0.603
4 Te 0.500 0.500 0.647


(12)
Ca3Cd2Cu after structural relaxation, computed with PBE.

Properties
- Magnetization: 0.0 Bohr magnetons per cell
- ΔE_f: -0.24 eV per atom

Cell lengths 3.676, 5.387, 8.478 Å; angles 108.52, 90.00, 90.00 degrees
Fractional coordinates of all 6 atoms:
1 Cd 0.000 0.324 0.648
2 Cd 0.000 0.676 0.352
3 Ca 0.500 0.846 0.692
4 Ca 0.500 0.500 0.000
5 Ca 0.500 0.154 0.308
6 Cu 0.000 0.000 0.000


(13)
Tm7Ga2Ge2 after structural relaxation, computed with PBE.

Properties
- Magnetization: 0.0 Bohr magnetons per cell
- ΔE_f: -0.25 eV per atom

Cell lengths 6.527, 7.165, 6.527 Å; angles 89.99, 109.62, 90.01 degrees
Fractional coordinates of all 11 atoms:
1 Ga 0.710 0.000 0.290
2 Ga 0.290 0.000 0.710
3 Tm 0.500 0.257 0.500
4 Tm 0.500 0.714 0.000
5 Tm 0.000 0.286 0.500
6 Tm 0.000 0.714 0.500
7 Tm 0.500 0.743 0.500
8 Tm 0.000 0.000 0.000
9 Tm 0.500 0.286 0.000
10 Ge 0.825 0.500 0.825
11 Ge 0.175 0.500 0.175


(14)
TeI2BrN after structural relaxation, computed with PBE.

Properties
- Magnetization: 0.7 Bohr magnetons per cell
- Energy relative to the elements, uncorrected: 795 meV per atom
- E above lowest polymorph: 0 meV per atom

Cell lengths 6.304, 6.304, 3.967 Å; angles 90.00, 90.00, 90.00 degrees
Last column: magnetic moment on the atom in μB.
Fractional coordinates of all 5 atoms:
1 Br 0.500 0.500 0.500  0.25
2 N 0.000 0.000 0.500  -0.02
3 I 0.500 0.000 0.000  0.13
4 I 0.000 0.500 0.000  0.13
5 Te 0.000 0.000 0.000  -0.01


(15)
Li2CaCo2 after structural relaxation, computed with PBE.

Properties
- Magnetization: 2.7 Bohr magnetons per cell
- E above lowest polymorph: 0 meV per atom
- ΔE_f: 0.35 eV per atom

Cell lengths 3.989, 3.989, 6.365 Å; angles 71.74, 71.74, 90.00 degrees
Last column: magnetic moment on the atom in μB.
Fractional coordinates of all 5 atoms:
1 Ca 0.000 0.000 0.000  -0.10
2 Li 0.750 0.250 0.500  -0.02
3 Li 0.250 0.750 0.500  -0.02
4 Co 0.407 0.407 0.187  1.57
5 Co 0.593 0.593 0.813  1.57


(16)
BaLiSe4 after structural relaxation, computed with PBE.

Properties
- Magnetization: 0.0 Bohr magnetons per cell
- Energy relative to the elements, uncorrected: -464 meV per atom

Cell lengths 6.048, 6.048, 6.048 Å; angles 60.00, 60.00, 60.00 degrees
Fractional coordinates of all 6 atoms:
1 Se 0.877 0.374 0.374
2 Se 0.374 0.374 0.374
3 Se 0.374 0.374 0.877
4 Se 0.374 0.877 0.374
5 Li 0.000 0.000 0.000
6 Ba 0.750 0.750 0.750


(17)
Ac2C2I after structural relaxation, computed with PBE.

Properties
- Magnetization: 0.0 Bohr magnetons per cell
- Energy relative to the elements, uncorrected: -583 meV per atom

Cell lengths 4.491, 7.193, 8.627 Å; angles 99.34, 105.09, 90.00 degrees
Fractional coordinates of all 10 atoms:
1 C 0.363 0.026 0.454
2 C 0.091 0.526 0.454
3 C 0.637 0.974 0.546
4 C 0.909 0.474 0.546
5 Ac 0.539 0.347 0.683
6 Ac 0.144 0.847 0.683
7 Ac 0.461 0.653 0.317
8 Ac 0.856 0.153 0.317
9 I 0.796 0.750 0.000
10 I 0.204 0.250 0.000


(18)
CsInI3 after structural relaxation, computed with PBE.

Properties
- Magnetization: 0.0 Bohr magnetons per cell
- Energy relative to the elements, uncorrected: -853 meV per atom

Cell lengths 7.590, 8.297, 15.968 Å; angles 89.95, 90.00, 90.00 degrees
Fractional coordinates of all 20 atoms:
1 In 0.935 0.250 0.524
2 In 0.065 0.750 0.476
3 In 0.435 0.750 0.976
4 In 0.565 0.250 0.024
5 I 0.574 0.016 0.863
6 I 0.572 0.250 0.581
7 I 0.428 0.750 0.419
8 I 0.426 0.984 0.137
9 I 0.072 0.750 0.919
10 I 0.074 0.984 0.637
11 I 0.574 0.484 0.863
12 I 0.928 0.250 0.081
13 I 0.926 0.016 0.363
14 I 0.074 0.516 0.637
15 I 0.426 0.516 0.137
16 I 0.926 0.484 0.363
17 Cs 0.416 0.250 0.349
18 Cs 0.584 0.750 0.651
19 Cs 0.916 0.750 0.151
20 Cs 0.084 0.250 0.849


(19)
Tb3ErCu4 after structural relaxation, computed with PBE.

Properties
- Magnetization: 0.0 Bohr magnetons per cell
- ΔE_f: -0.25 eV per atom

Cell lengths 3.468, 3.468, 13.888 Å; angles 90.00, 90.00, 90.00 degrees
Fractional coordinates of all 8 atoms:
1 Cu 0.000 0.000 0.120
2 Cu 0.000 0.000 0.375
3 Cu 0.000 0.000 0.880
4 Cu 0.000 0.000 0.625
5 Tb 0.500 0.500 0.500
6 Tb 0.500 0.500 0.752
7 Tb 0.500 0.500 0.248
8 Er 0.500 0.500 0.000


(20)
K2Tl after structural relaxation, computed with PBE.

Properties
- Magnetization: 0.0 Bohr magnetons per cell
- E above lowest polymorph: 275 meV per atom
- ΔE_f: 0.21 eV per atom

Cell lengths 7.352, 7.352, 7.352 Å; angles 60.00, 60.00, 60.00 degrees
Fractional coordinates of all 6 atoms:
1 K 0.625 0.125 0.625
2 K 0.625 0.625 0.625
3 K 0.125 0.625 0.625
4 K 0.625 0.625 0.125
5 Tl 0.000 0.000 0.000
6 Tl 0.250 0.250 0.250